Entry from the Alexandria database: crystalline ZnCoRu2W at its relaxed geometry (PBE-GGA).

Output
Mass density: 9.82 Mg/m³
Calculated total energy: -6.59 eV per atom
DFT formation energy: 1384.4 meV per atom

CIF file:
```
data_ZnCoRu2W
_cell_length_a 4.443
_cell_length_b 4.372
_cell_length_c 4.443
_cell_angle_alpha 90.00
_cell_angle_beta 90.00
_cell_angle_gamma 90.00
_symmetry_space_group_name_H-M 'P 1'
_symmetry_Int_Tables_number 1
loop_
_symmetry_equiv_pos_as_xyz
'x,y,z'
loop_
_atom_site_label
_atom_site_type_symbol
_atom_site_fract_x
_atom_site_fract_y
_atom_site_fract_z
Co1 Co 0.000 0.000 0.000
W1 W 0.000 0.500 0.000
Zn1 Zn 0.500 0.500 0.500
Ru1 Ru 0.500 0.000 0.000
Ru2 Ru 0.000 0.000 0.500
```



Entry from the Alexandria database: crystalline Pr2SnSb at its relaxed geometry (PBE-GGA).

Output
Mass density: 6.70 Mg/m³
Calculated total energy: -5.40 eV per atom
Energy relative to the elements, uncorrected: -983 meV per atom
Energy above the most stable polymorph in this dataset: 0 meV/atom

CIF file:
```
data_Pr2SnSb
_cell_length_a 4.475
_cell_length_b 4.657
_cell_length_c 12.644
_cell_angle_alpha 100.61
_cell_angle_beta 90.00
_cell_angle_gamma 90.00
_symmetry_space_group_name_H-M 'P 1'
_symmetry_Int_Tables_number 1
loop_
_symmetry_equiv_pos_as_xyz
'x,y,z'
loop_
_atom_site_label
_atom_site_type_symbol
_atom_site_fract_x
_atom_site_fract_y
_atom_site_fract_z
Sb1 Sb 0.250 0.188 0.377
Sb2 Sb 0.750 0.812 0.623
Pr1 Pr 0.250 0.316 0.632
Pr2 Pr 0.250 0.064 0.127
Pr3 Pr 0.750 0.936 0.873
Pr4 Pr 0.750 0.684 0.368
Sn1 Sn 0.750 0.544 0.088
Sn2 Sn 0.250 0.456 0.912
```



Entry from the Alexandria database: crystalline CaFeAg at its relaxed geometry (PBE-GGA).

Output
Mass density: 5.48 Mg/m³
Calculated total energy: -3.87 eV per atom
DFT formation energy: 572.9 meV per atom

CIF file:
```
data_CaFeAg
_cell_length_a 3.198
_cell_length_b 3.198
_cell_length_c 6.975
_cell_angle_alpha 90.00
_cell_angle_beta 90.00
_cell_angle_gamma 120.00
_symmetry_space_group_name_H-M 'P 1'
_symmetry_Int_Tables_number 1
loop_
_symmetry_equiv_pos_as_xyz
'x,y,z'
loop_
_atom_site_label
_atom_site_type_symbol
_atom_site_fract_x
_atom_site_fract_y
_atom_site_fract_z
Ag1 Ag 0.000 0.000 0.973
Fe1 Fe 0.333 0.667 0.682
Ca1 Ca 0.667 0.333 0.345
```



Entry from the Alexandria database: crystalline BaCaCu2 at its relaxed geometry (PBE-GGA).

Output
Mass density: 4.71 Mg/m³
Calculated total energy: -3.03 eV per atom
DFT formation energy: -3.1 meV per atom
Energy above the most stable polymorph in this dataset: 53 meV/atom

CIF file:
```
data_BaCaCu2
_cell_length_a 3.849
_cell_length_b 3.847
_cell_length_c 8.198
_cell_angle_alpha 62.06
_cell_angle_beta 90.00
_cell_angle_gamma 90.00
_symmetry_space_group_name_H-M 'P 1'
_symmetry_Int_Tables_number 1
loop_
_symmetry_equiv_pos_as_xyz
'x,y,z'
loop_
_atom_site_label
_atom_site_type_symbol
_atom_site_fract_x
_atom_site_fract_y
_atom_site_fract_z
Cu1 Cu 0.000 0.070 0.931
Cu2 Cu 0.000 0.430 0.569
Ba1 Ba 0.500 0.250 0.250
Ca1 Ca 0.500 0.750 0.750
```